## Nb2CdMo (PBE)

Data for a relaxed structure of Nb2CdMo.

Cell lengths 3.2919, 3.2919, 6.7816 Å; angles 90.00, 90.00, 90.00 degrees
Atoms (fractional coordinates):
Cd  0.5000  0.5000  0.5000
Mo  0.5000  0.5000  0.0000
Nb  0.0000  0.0000  0.7792
Nb  0.0000  0.0000  0.2208

Computed properties:
magnetization: 0.0 μB/f.u.
E_form: 0.0779 eV per atom
space group: No. 123

## Zr2MnBe (PBE)

Data for a relaxed structure of Zr2MnBe.

Cell lengths 4.5414, 4.5414, 4.5414 Å; angles 60.00, 60.00, 60.00 degrees
Site moments in Bohr magnetons follow the coordinates.
Atoms (fractional coordinates):
Zr  0.2500  0.2500  0.2500  -0.62
Be  0.5000  0.5000  0.5000  -0.02
Zr  0.0000  0.0000  0.0000  -0.62
Mn  0.7500  0.7500  0.7500  2.48

Computed properties:
magnetization: 1.0 μB/f.u.
E_form: 0.2408 eV per atom
space group: No. 216